Entry one
Below is an optimized crystal structure of TlSiOs2, with properties calculated at the PBEsol level.

Summary:
- Size of the total moment: 0.0 μB per formula unit
- Density: 15207 kg/m³

```
TlSiOs2
1.0
2.834 0.000 0.000
0.000 2.834 0.000
0.000 0.000 8.336
Tl Os Si
1 2 1
Direct
0.500 0.500 0.763
0.500 0.500 0.245
0.000 0.000 0.043
0.000 0.000 0.448
```

=====

Entry two
Below is an optimized crystal structure of TlSiOs2, with properties calculated at the PBEsol level.

Summary:
- Size of the total moment: 0.0 μB per formula unit
- Density: 16289 kg/m³

```
TlSiOs2
1.0
2.853 0.000 0.000
0.000 4.910 0.000
-1.426 -2.455 4.461
Os Si Tl
2 1 1
Direct
0.717 0.717 0.434
0.283 0.283 0.566
0.000 0.500 0.000
0.500 0.000 0.000
```

=====

Most stable structure: entry one